Compound: Co5Cu3O12
Source: Alexandria
Functional: PBE with a Hubbard U
Structure: optimized geometry

abc: 10.092 10.092 10.092
angles: 109.47 109.47 109.47
Fractional positions:
Co1 0.000 0.000 0.000
Co2 0.000 0.000 0.500
Co3 0.000 0.500 0.000
Co4 0.000 0.500 0.500
Co5 0.125 0.750 0.875
Co6 0.125 0.875 0.250
Co7 0.250 0.125 0.875
Co8 0.250 0.625 0.375
Co9 0.375 0.250 0.625
Co10 0.375 0.625 0.750
Co11 0.500 0.000 0.000
Co12 0.500 0.000 0.500
Co13 0.500 0.500 0.000
Co14 0.500 0.500 0.500
Co15 0.625 0.375 0.250
Co16 0.625 0.750 0.375
Co17 0.750 0.375 0.625
Co18 0.750 0.875 0.125
Co19 0.875 0.125 0.750
Co20 0.875 0.250 0.125
Cu1 0.125 0.250 0.375
Cu2 0.125 0.375 0.750
Cu3 0.250 0.375 0.125
Cu4 0.250 0.875 0.625
Cu5 0.375 0.125 0.250
Cu6 0.375 0.750 0.125
Cu7 0.625 0.250 0.875
Cu8 0.625 0.875 0.750
Cu9 0.750 0.125 0.375
Cu10 0.750 0.625 0.875
Cu11 0.875 0.625 0.250
Cu12 0.875 0.750 0.625
O1 0.036 0.211 0.114
O2 0.036 0.325 0.922
O3 0.078 0.614 0.402
O4 0.078 0.964 0.675
O5 0.098 0.711 0.675
O6 0.098 0.886 0.422
O7 0.114 0.036 0.211
O8 0.114 0.578 0.902
O9 0.175 0.211 0.598
O10 0.175 0.464 0.578
O11 0.211 0.114 0.036
O12 0.211 0.598 0.175
O13 0.289 0.325 0.902
O14 0.289 0.464 0.386
O15 0.325 0.902 0.289
O16 0.325 0.922 0.036
O17 0.386 0.289 0.464
O18 0.386 0.598 0.922
O19 0.402 0.078 0.614
O20 0.402 0.825 0.789
O21 0.422 0.098 0.886
O22 0.422 0.825 0.536
O23 0.464 0.386 0.289
O24 0.464 0.578 0.175
O25 0.536 0.422 0.825
O26 0.536 0.614 0.711
O27 0.578 0.175 0.464
O28 0.578 0.902 0.114
O29 0.598 0.175 0.211
O30 0.598 0.922 0.386
O31 0.614 0.402 0.078
O32 0.614 0.711 0.536
O33 0.675 0.078 0.964
O34 0.675 0.098 0.711
O35 0.711 0.536 0.614
O36 0.711 0.675 0.098
O37 0.789 0.402 0.825
O38 0.789 0.886 0.964
O39 0.825 0.536 0.422
O40 0.825 0.789 0.402
O41 0.886 0.422 0.098
O42 0.886 0.964 0.789
O43 0.902 0.114 0.578
O44 0.902 0.289 0.325
O45 0.922 0.036 0.325
O46 0.922 0.386 0.598
O47 0.964 0.675 0.078
O48 0.964 0.789 0.886

Final energy   -430.5 eV per cell